# 1
{"formula": "CaRe", "functional": "PBE", "state": "optimized geometry", "cell": [[8.1018, -1.5850, 0.0000], [8.1018, 1.5850, 0.0000], [-2.1949, 0.0000, 5.5530]], "species": ["Ca", "Ca", "Ca", "Re", "Re", "Re"], "frac_coords": [[0.0000, 0.0000, 0.0000], [0.0741, 0.0741, 0.5739], [0.7177, 0.7177, 0.2178], [0.3704, 0.3704, 0.1610], [0.3706, 0.3706, 0.5795], [0.8010, 0.8010, 0.8007]], "dft_energy_ev_per_atom": -6.68, "e_above_lowest_polymorph_ev_per_fu": 0.49, "ef_mev_per_atom": 545}

---

# 2
{"formula": "Er8Ga2Hg", "functional": "PBE", "state": "optimized geometry", "cell": [[8.8511, -2.4711, 0.0000], [8.8511, 2.4711, 0.0000], [-1.5709, 0.0000, 6.8163]], "species": ["Er", "Er", "Er", "Er", "Er", "Er", "Er", "Er", "Ga", "Ga", "Hg"], "frac_coords": [[0.0282, 0.0282, 0.2531], [0.1994, 0.1994, 0.8075], [0.3339, 0.3339, 0.5425], [0.4070, 0.4070, 0.0370], [0.5930, 0.5930, 0.9630], [0.6661, 0.6661, 0.4575], [0.8006, 0.8006, 0.1925], [0.9718, 0.9718, 0.7469], [0.1948, 0.1948, 0.2253], [0.8052, 0.8052, 0.7747], [0.5000, 0.5000, 0.5000]], "dft_energy_ev_per_atom": -4.16, "ef_mev_per_atom": -268}

---

# 3
{"formula": "Tb3YNi", "functional": "PBE", "state": "optimized geometry", "cell": [[7.5019, 0.0000, 0.0000], [-3.7509, 6.4968, 0.0000], [0.0000, 0.0000, 5.8624]], "species": ["Tb", "Tb", "Tb", "Tb", "Tb", "Tb", "Y", "Y", "Ni", "Ni"], "frac_coords": [[0.1773, 0.3546, 0.2500], [0.1773, 0.8227, 0.2500], [0.3546, 0.1773, 0.7500], [0.6454, 0.8227, 0.2500], [0.8227, 0.1773, 0.7500], [0.8227, 0.6454, 0.7500], [0.3333, 0.6667, 0.7500], [0.6667, 0.3333, 0.2500], [0.0000, 0.0000, 0.0000], [0.0000, 0.0000, 0.5000]], "dft_energy_ev_per_atom": -5.29, "e_above_lowest_polymorph_ev_per_fu": 0.47, "ef_mev_per_atom": -67}

---

# 4
{"formula": "Nb3InSe", "functional": "PBE", "state": "optimized geometry", "cell": [[5.0659, 0.0000, 0.0000], [0.0000, 5.0659, 0.0000], [0.0000, 0.0000, 5.0659]], "species": ["Nb", "Nb", "Nb", "In", "Se"], "frac_coords": [[0.0000, 0.0000, 0.5000], [0.0000, 0.5000, 0.0000], [0.5000, 0.0000, 0.0000], [0.0000, 0.0000, 0.0000], [0.5000, 0.5000, 0.5000]], "dft_energy_ev_per_atom": -5.43, "e_above_lowest_polymorph_ev_per_fu": 10.04}

---

# 5
{"formula": "KRbCu2I6", "functional": "PBE", "state": "optimized geometry", "cell": [[5.7377, -7.7992, 0.0000], [5.7377, 7.7992, 0.0000], [-2.5605, 0.0000, 10.5249]], "species": ["K", "K", "Rb", "Rb", "Cu", "Cu", "Cu", "Cu", "I", "I", "I", "I", "I", "I", "I", "I", "I", "I", "I", "I"], "frac_coords": [[0.0810, 0.9190, 0.7500], [0.9190, 0.0810, 0.2500], [0.4212, 0.5788, 0.7500], [0.5788, 0.4212, 0.2500], [0.1625, 0.4671, 0.3932], [0.4671, 0.1625, 0.8932], [0.5329, 0.8375, 0.1068], [0.8375, 0.5329, 0.6068], [0.0274, 0.5470, 0.7967], [0.2094, 0.7348, 0.4648], [0.2652, 0.7906, 0.0352], [0.2707, 0.2770, 0.4510], [0.2770, 0.2707, 0.9510], [0.4530, 0.9726, 0.7033], [0.5470, 0.0274, 0.2967], [0.7230, 0.7293, 0.0490], [0.7293, 0.7230, 0.5490], [0.7348, 0.2094, 0.9648], [0.7906, 0.2652, 0.5352], [0.9726, 0.4530, 0.2033]], "dft_energy_ev_per_atom": -2.58}

---

# 6
{"formula": "Pm2TmTe5", "functional": "PBE", "state": "optimized geometry", "cell": [[3.1115, -7.5970, 0.0000], [3.1115, 7.5970, 0.0000], [0.0000, 0.0000, 13.5834]], "species": ["Pm", "Pm", "Pm", "Pm", "Tm", "Tm", "Te", "Te", "Te", "Te", "Te", "Te", "Te", "Te", "Te", "Te"], "frac_coords": [[0.1609, 0.8391, 0.5634], [0.1609, 0.8391, 0.9366], [0.8391, 0.1609, 0.0634], [0.8391, 0.1609, 0.4366], [0.1994, 0.8006, 0.2500], [0.8006, 0.1994, 0.7500], [0.0350, 0.9650, 0.1251], [0.0350, 0.9650, 0.3749], [0.2831, 0.7169, 0.7500], [0.3245, 0.6755, 0.0782], [0.3245, 0.6755, 0.4218], [0.6755, 0.3245, 0.5782], [0.6755, 0.3245, 0.9218], [0.7169, 0.2831, 0.2500], [0.9650, 0.0350, 0.6251], [0.9650, 0.0350, 0.8749]], "dft_energy_ev_per_atom": -4.92}

---

# 7
{"formula": "Mg3AlNi", "functional": "PBE", "state": "optimized geometry", "cell": [[4.7837, 0.0000, 0.0000], [0.0000, 4.7837, 0.0000], [0.0000, 0.0000, 4.7837]], "species": ["Mg", "Mg", "Mg", "Al", "Ni"], "frac_coords": [[0.0000, 0.0000, 0.5000], [0.0000, 0.5000, 0.0000], [0.5000, 0.0000, 0.0000], [0.5000, 0.5000, 0.5000], [0.0000, 0.0000, 0.0000]], "dft_energy_ev_per_atom": -2.64, "e_above_lowest_polymorph_ev_per_fu": 0.00, "ef_mev_per_atom": 223}

---

# 8
{"formula": "Li3CdIn5", "functional": "PBE", "state": "optimized geometry", "cell": [[-4.2212, 4.2212, 5.9439], [4.2212, -4.2212, 5.9439], [4.2212, 4.2212, -5.9439]], "species": ["Li", "Li", "Li", "Li", "Li", "Li", "Cd", "Cd", "In", "In", "In", "In", "In", "In", "In", "In", "In", "In"], "frac_coords": [[0.1016, 0.6016, 0.7032], [0.2500, 0.2500, 0.0000], [0.3984, 0.1016, 0.5000], [0.6016, 0.8984, 0.5000], [0.7500, 0.7500, 0.0000], [0.8984, 0.3984, 0.2968], [0.2500, 0.7500, 0.5000], [0.7500, 0.2500, 0.5000], [0.0000, 0.0000, 0.0000], [0.0791, 0.1627, 0.5000], [0.1627, 0.6627, 0.0836], [0.3373, 0.4209, 0.5000], [0.4209, 0.9209, 0.0836], [0.5000, 0.5000, 0.0000], [0.5791, 0.0791, 0.9164], [0.6627, 0.5791, 0.5000], [0.8373, 0.3373, 0.9164], [0.9209, 0.8373, 0.5000]], "dft_energy_ev_per_atom": -2.33, "ef_mev_per_atom": -65}